1.
# PBE Pr3MgIn2AgPt2, optimized geometry
# Uncorrected energy = -4.7832 eV/atom
data_Pr3MgIn2AgPt2
_chemical_formula_sum 'Pr6 Mg2 In4 Ag2 Pt4'
_cell_length_a 4.1150
_cell_length_b 13.5513
_cell_length_c 7.7833
_cell_angle_alpha 90.00
_cell_angle_beta 90.00
_cell_angle_gamma 90.00
_symmetry_space_group_name_H-M 'A m m 2'
_symmetry_Int_Tables_number 38
loop_
_symmetry_equiv_pos_as_xyz
'x,y,z'
'-x,-y,z'
'-x,y,z'
'x,-y,z'
'x,y+1/2,z+1/2'
'-x,-y+1/2,z+1/2'
'-x,y+1/2,z+1/2'
'x,-y+1/2,z+1/2'
loop_
_atom_site_label
_atom_site_type_symbol
_atom_site_fract_x
_atom_site_fract_y
_atom_site_fract_z
_atom_site_occupancy
Pr1 Pr 0.0000 0.0000 0.0000 1
Pr2 Pr 0.0000 0.2107 0.3783 1
Mg1 Mg 0.5000 0.0000 0.3301 1
In1 In 0.5000 0.1255 0.7111 1
Ag1 Ag 0.0000 0.0000 0.5737 1
Pt1 Pt 0.5000 0.1643 0.0909 1

2.
# PBE MgInAgS3, optimized geometry
# Uncorrected energy = -3.7940 eV/atom
data_MgInAgS3
_chemical_formula_sum 'Mg4 In4 Ag4 S12'
_cell_length_a 3.8952
_cell_length_b 13.4603
_cell_length_c 10.1417
_cell_angle_alpha 90.00
_cell_angle_beta 90.00
_cell_angle_gamma 90.00
_symmetry_space_group_name_H-M 'C m c m'
_symmetry_Int_Tables_number 63
_symmetry_space_group_name_Hall '-C 2c 2'
loop_
_atom_site_label
_atom_site_type_symbol
_atom_site_fract_x
_atom_site_fract_y
_atom_site_fract_z
_atom_site_occupancy
Mg1 Mg 0.0000 0.1613 0.2500 1
In1 In 0.0000 0.5000 0.0000 1
Ag1 Ag 0.0000 0.1558 0.7500 1
S1 S 0.0000 0.1345 0.5177 1
S2 S 0.0000 0.4461 0.7500 1

3.
# PBE Sm3Mg3In2Ag, optimized geometry
# Uncorrected energy = -3.3966 eV/atom
data_Sm3Mg3In2Ag
_chemical_formula_sum 'Sm3 Mg3 In2 Ag1'
_cell_length_a 7.6464
_cell_length_b 7.6464
_cell_length_c 4.6015
_cell_angle_alpha 90.00
_cell_angle_beta 90.00
_cell_angle_gamma 120.00
_symmetry_space_group_name_H-M 'P -6 2 m'
_symmetry_Int_Tables_number 189
_symmetry_space_group_name_Hall 'P -6 -2'
loop_
_atom_site_label
_atom_site_type_symbol
_atom_site_fract_x
_atom_site_fract_y
_atom_site_fract_z
_atom_site_occupancy
Sm1 Sm 0.0000 0.5844 0.0000 1
Mg1 Mg 0.0000 0.2373 0.5000 1
In1 In 0.3333 0.6667 0.5000 1
Ag1 Ag 0.0000 0.0000 0.0000 1

4.
# PBE Sm3Mg3InAg2, optimized geometry
# Uncorrected energy = -3.2994 eV/atom
data_Sm3Mg3InAg2
_chemical_formula_sum 'Sm3 Mg3 In1 Ag2'
_cell_length_a 7.5432
_cell_length_b 7.5432
_cell_length_c 4.6308
_cell_angle_alpha 90.00
_cell_angle_beta 90.00
_cell_angle_gamma 120.00
_symmetry_space_group_name_H-M 'P -6 2 m'
_symmetry_Int_Tables_number 189
_symmetry_space_group_name_Hall 'P -6 -2'
loop_
_atom_site_label
_atom_site_type_symbol
_atom_site_fract_x
_atom_site_fract_y
_atom_site_fract_z
_atom_site_occupancy
Sm1 Sm 0.0000 0.5724 0.0000 1
Mg1 Mg 0.0000 0.2458 0.5000 1
In1 In 0.0000 0.0000 0.0000 1
Ag1 Ag 0.3333 0.6667 0.5000 1

5.
# PBE Tm3Mg3InAg2, optimized geometry
# Uncorrected energy = -3.1977 eV/atom
data_Tm3Mg3InAg2
_chemical_formula_sum 'Tm3 Mg3 In1 Ag2'
_cell_length_a 7.4102
_cell_length_b 7.4102
_cell_length_c 4.4751
_cell_angle_alpha 90.00
_cell_angle_beta 90.00
_cell_angle_gamma 120.00
_symmetry_space_group_name_H-M 'P -6 2 m'
_symmetry_Int_Tables_number 189
_symmetry_space_group_name_Hall 'P -6 -2'
loop_
_atom_site_label
_atom_site_type_symbol
_atom_site_fract_x
_atom_site_fract_y
_atom_site_fract_z
_atom_site_occupancy
Tm1 Tm 0.0000 0.4260 0.0000 1
Mg1 Mg 0.0000 0.7520 0.5000 1
In1 In 0.0000 0.0000 0.0000 1
Ag1 Ag 0.3333 0.6667 0.5000 1

6.
# PBE Tm3Mg3In2Ag, optimized geometry
# Uncorrected energy = -3.2770 eV/atom
data_Tm3Mg3In2Ag
_chemical_formula_sum 'Tm3 Mg3 In2 Ag1'
_cell_length_a 7.4862
_cell_length_b 7.4862
_cell_length_c 4.4703
_cell_angle_alpha 90.00
_cell_angle_beta 90.00
_cell_angle_gamma 120.00
_symmetry_space_group_name_H-M 'P -6 2 m'
_symmetry_Int_Tables_number 189
_symmetry_space_group_name_Hall 'P -6 -2'
loop_
_atom_site_label
_atom_site_type_symbol
_atom_site_fract_x
_atom_site_fract_y
_atom_site_fract_z
_atom_site_occupancy
Tm1 Tm 0.0000 0.4174 0.0000 1
Mg1 Mg 0.0000 0.7623 0.5000 1
In1 In 0.3333 0.6667 0.5000 1
Ag1 Ag 0.0000 0.0000 0.0000 1

7.
# PBE Y3MgIn2Ag3, optimized geometry
# Uncorrected energy = -4.2774 eV/atom
data_Y3MgIn2Ag3
_chemical_formula_sum 'Y6 Mg2 In4 Ag6'
_cell_length_a 4.0164
_cell_length_b 13.5263
_cell_length_c 7.7402
_cell_angle_alpha 90.00
_cell_angle_beta 90.00
_cell_angle_gamma 90.00
_symmetry_space_group_name_H-M 'A m m 2'
_symmetry_Int_Tables_number 38
loop_
_symmetry_equiv_pos_as_xyz
'x,y,z'
'-x,-y,z'
'-x,y,z'
'x,-y,z'
'x,y+1/2,z+1/2'
'-x,-y+1/2,z+1/2'
'-x,y+1/2,z+1/2'
'x,-y+1/2,z+1/2'
loop_
_atom_site_label
_atom_site_type_symbol
_atom_site_fract_x
_atom_site_fract_y
_atom_site_fract_z
_atom_site_occupancy
Y1 Y 0.0000 0.0000 0.0000 1
Y2 Y 0.0000 0.2056 0.6060 1
Mg1 Mg 0.5000 0.0000 0.6569 1
In1 In 0.5000 0.1300 0.2786 1
Ag1 Ag 0.0000 0.0000 0.4127 1
Ag2 Ag 0.5000 0.1630 0.9011 1

8.
# PBE InNiAgMo, optimized geometry
# Uncorrected energy = -5.0121 eV/atom
data_InNiAgMo
_chemical_formula_sum 'In4 Ni4 Ag4 Mo4'
_cell_length_a 6.4272
_cell_length_b 6.4272
_cell_length_c 6.4272
_cell_angle_alpha 90.00
_cell_angle_beta 90.00
_cell_angle_gamma 90.00
_symmetry_space_group_name_H-M 'F -4 3 m'
_symmetry_Int_Tables_number 216
_symmetry_space_group_name_Hall 'F -4 2 3'
loop_
_atom_site_label
_atom_site_type_symbol
_atom_site_fract_x
_atom_site_fract_y
_atom_site_fract_z
_atom_site_occupancy
In1 In 0.0000 0.0000 0.0000 1
Ni1 Ni 0.2500 0.2500 0.2500 1
Ag1 Ag 0.0000 0.0000 0.5000 1
Mo1 Mo 0.2500 0.2500 0.7500 1

9.
# PBE InAgMoS3, optimized geometry
# Uncorrected energy = -5.1263 eV/atom
data_InAgMoS3
_chemical_formula_sum 'In4 Ag4 Mo4 S12'
_cell_length_a 3.3352
_cell_length_b 16.0217
_cell_length_c 9.4776
_cell_angle_alpha 90.00
_cell_angle_beta 90.00
_cell_angle_gamma 90.00
_symmetry_space_group_name_H-M 'C m c m'
_symmetry_Int_Tables_number 63
_symmetry_space_group_name_Hall '-C 2c 2'
loop_
_atom_site_label
_atom_site_type_symbol
_atom_site_fract_x
_atom_site_fract_y
_atom_site_fract_z
_atom_site_occupancy
In1 In 0.0000 0.1633 0.2500 1
Ag1 Ag 0.0000 0.1928 0.7500 1
Mo1 Mo 0.0000 0.5000 0.0000 1
S1 S 0.0000 0.1104 0.5276 1
S2 S 0.0000 0.4692 0.7500 1

10.
# PBE InAgMoSeS2, optimized geometry
# Uncorrected energy = -4.9680 eV/atom
data_InAgMoSeS2
_chemical_formula_sum 'In4 Ag4 Mo4 Se4 S8'
_cell_length_a 3.3494
_cell_length_b 15.9187
_cell_length_c 9.8841
_cell_angle_alpha 90.00
_cell_angle_beta 90.00
_cell_angle_gamma 90.00
_symmetry_space_group_name_H-M 'C m c m'
_symmetry_Int_Tables_number 63
_symmetry_space_group_name_Hall '-C 2c 2'
loop_
_atom_site_label
_atom_site_type_symbol
_atom_site_fract_x
_atom_site_fract_y
_atom_site_fract_z
_atom_site_occupancy
In1 In 0.0000 0.1740 0.2500 1
Ag1 Ag 0.0000 0.1803 0.7500 1
Mo1 Mo 0.0000 0.5000 0.0000 1
Se1 Se 0.0000 0.4692 0.7500 1
S1 S 0.0000 0.1118 0.5224 1

11.
# PBE InAgMoSe3, optimized geometry
# Uncorrected energy = -4.6940 eV/atom
data_InAgMoSe3
_chemical_formula_sum 'In4 Ag4 Mo4 Se12'
_cell_length_a 3.4706
_cell_length_b 16.1720
_cell_length_c 10.0529
_cell_angle_alpha 90.00
_cell_angle_beta 90.00
_cell_angle_gamma 90.00
_symmetry_space_group_name_H-M 'C m c m'
_symmetry_Int_Tables_number 63
_symmetry_space_group_name_Hall '-C 2c 2'
loop_
_atom_site_label
_atom_site_type_symbol
_atom_site_fract_x
_atom_site_fract_y
_atom_site_fract_z
_atom_site_occupancy
In1 In 0.0000 0.1677 0.2500 1
Ag1 Ag 0.0000 0.1940 0.7500 1
Mo1 Mo 0.0000 0.5000 0.0000 1
Se1 Se 0.0000 0.1160 0.5252 1
Se2 Se 0.0000 0.4697 0.7500 1

12.
# PBE InAgTeMoSe2, optimized geometry
# Uncorrected energy = -4.4859 eV/atom
data_InAgTeMoSe2
_chemical_formula_sum 'In4 Ag4 Te4 Mo4 Se8'
_cell_length_a 3.5765
_cell_length_b 15.3129
_cell_length_c 10.6436
_cell_angle_alpha 90.00
_cell_angle_beta 90.00
_cell_angle_gamma 90.00
_symmetry_space_group_name_H-M 'C m c m'
_symmetry_Int_Tables_number 63
_symmetry_space_group_name_Hall '-C 2c 2'
loop_
_atom_site_label
_atom_site_type_symbol
_atom_site_fract_x
_atom_site_fract_y
_atom_site_fract_z
_atom_site_occupancy
In1 In 0.0000 0.2352 0.2500 1
Ag1 Ag 0.0000 0.4342 0.7500 1
Te1 Te 0.0000 0.0782 0.7500 1
Mo1 Mo 0.0000 0.0000 0.0000 1
Se1 Se 0.0000 0.3758 0.5217 1